Entry 1:
Entry from Alexandria: YAl2In after structural relaxation (PBE).

POSCAR file:
```
YAl2In
1.0
4.769 0.000 0.000
0.000 3.276 -0.015
0.000 0.026 5.774
In Al Y
1 2 1
Direct
0.000 0.250 0.506
0.500 0.250 0.238
0.000 0.250 0.996
0.500 0.750 0.761
```

For the uncorrected energy, the calculation gives -17.5 eV for the cell shown. Its energy of formation from the pure elements is -208 meV/atom. Its size of the total moment is 0.0 μB/cell.


Entry 2:
Entry from Alexandria: SiSbRh2 after structural relaxation (PBE).

POSCAR file:
```
SiSbRh2
1.0
3.605 -0.579 0.267
2.292 2.842 0.267
1.474 0.566 6.168
Sb Rh Si
1 2 1
Direct
0.250 0.250 0.250
0.026 0.026 0.924
0.474 0.474 0.576
0.750 0.750 0.750
```

For the uncorrected energy, the calculation gives -26.0 eV for the cell shown. The energy relative to the elements, uncorrected is -0.4342 eV/atom. Its size of the total moment is 0.0 μB/cell.


Entry 3:
Entry from Alexandria: Tb6Pm3YTm2 after structural relaxation (PBE).

POSCAR file:
```
Tb6Pm3YTm2
1.0
6.190 0.001 0.007
-3.092 5.362 0.007
-1.041 -1.802 11.650
Tb Y Pm Tm
6 1 3 2
Direct
0.583 0.918 0.754
0.918 0.583 0.754
0.748 0.748 0.246
0.082 0.417 0.246
0.417 0.082 0.246
0.252 0.252 0.754
0.000 0.000 0.000
0.167 0.833 0.500
0.500 0.500 0.500
0.833 0.167 0.500
0.333 0.667 0.000
0.667 0.333 0.000
```

For the uncorrected energy, the calculation gives -57.2 eV for the cell shown. Its energy of formation from the pure elements is 18 meV/atom. Its size of the total moment is 0.0 μB/cell.


Entry 4:
Entry from Alexandria: La12Ni6Bi after structural relaxation (PBE).

POSCAR file:
```
La12Ni6Bi
1.0
-8.723 -1.845 -0.070
4.648 -7.607 -0.157
2.014 4.561 7.391
Ni La Bi
6 12 1
Direct
0.624 0.500 0.124
0.500 0.124 0.624
0.500 0.876 0.376
0.376 0.500 0.876
0.876 0.376 0.500
0.124 0.624 0.500
0.313 0.495 0.182
0.505 0.818 0.687
0.687 0.505 0.818
0.495 0.182 0.313
0.130 0.818 0.313
0.818 0.313 0.130
0.818 0.687 0.505
0.313 0.130 0.818
0.687 0.870 0.182
0.182 0.687 0.870
0.182 0.313 0.495
0.870 0.182 0.687
0.000 0.000 0.000
```

For the uncorrected energy, the calculation gives -104.1 eV for the cell shown. Its energy of formation from the pure elements is -338 meV/atom. Its size of the total moment is 0.0 μB/cell.


Entry 5:
Entry from Alexandria: SrBePO2 after structural relaxation (PBE).

POSCAR file:
```
SrBePO2
1.0
4.120 0.000 0.000
0.000 4.120 0.000
0.000 0.000 3.995
P Sr Be O
1 1 1 2
Direct
0.000 0.000 0.500
0.500 0.500 0.500
0.000 0.000 0.000
0.500 0.000 0.000
0.000 0.500 0.000
```

For the uncorrected energy, the calculation gives -24.7 eV for the cell shown. The energy relative to the elements, uncorrected is -0.7889 eV/atom. Its size of the total moment is 0.0 μB/cell.


Entry 6:
Entry from Alexandria: Pu3In5H12 after structural relaxation (PBE).

POSCAR file:
```
Pu3In5H12
1.0
10.997 0.000 0.000
-3.666 10.368 0.000
-3.666 -5.184 8.979
Pu In H
12 20 48
Direct
0.375 0.625 0.250
0.375 0.750 0.625
0.875 0.125 0.250
0.125 0.250 0.875
0.625 0.375 0.750
0.250 0.625 0.875
0.625 0.250 0.375
0.875 0.750 0.125
0.250 0.125 0.375
0.750 0.875 0.625
0.750 0.375 0.125
0.125 0.875 0.750
0.500 0.000 0.500
0.375 0.250 0.125
0.250 0.375 0.625
0.500 0.500 0.000
0.125 0.750 0.375
0.750 0.125 0.875
0.000 0.000 0.500
0.375 0.125 0.750
0.625 0.875 0.250
0.625 0.750 0.875
0.875 0.250 0.625
0.250 0.875 0.125
0.000 0.000 0.000
0.750 0.625 0.375
0.000 0.500 0.000
0.500 0.000 0.000
0.000 0.500 0.500
0.125 0.375 0.250
0.875 0.625 0.750
0.500 0.500 0.500
0.340 0.584 0.420
0.420 0.084 0.340
0.080 0.920 0.336
0.660 0.244 0.580
0.580 0.836 0.420
0.160 0.080 0.916
0.756 0.416 0.336
0.256 0.836 0.916
0.256 0.420 0.840
0.580 0.916 0.660
0.840 0.920 0.256
0.420 0.256 0.340
0.416 0.660 0.080
0.080 0.920 0.164
0.756 0.340 0.920
0.920 0.840 0.584
0.664 0.580 0.920
0.584 0.244 0.164
0.836 0.256 0.416
0.660 0.416 0.580
0.916 0.336 0.256
0.164 0.420 0.080
0.664 0.084 0.244
0.920 0.840 0.756
0.920 0.080 0.836
0.584 0.340 0.920
0.084 0.420 0.840
0.580 0.664 0.420
0.420 0.336 0.580
0.160 0.080 0.744
0.916 0.580 0.160
0.420 0.164 0.580
0.080 0.160 0.244
0.080 0.160 0.416
0.744 0.164 0.084
0.836 0.580 0.920
0.416 0.756 0.836
0.580 0.744 0.660
0.744 0.580 0.160
0.084 0.664 0.744
0.920 0.080 0.664
0.336 0.916 0.756
0.164 0.744 0.584
0.340 0.756 0.420
0.840 0.920 0.084
0.244 0.660 0.080
0.336 0.420 0.080
0.244 0.584 0.664
```

For the uncorrected energy, the calculation gives -379.7 eV for the cell shown. Its size of the total moment is 58.5 μB/cell.


Entry 7:
Entry from Alexandria: TbPrEu after structural relaxation (PBE).

POSCAR file:
```
TbPrEu
1.0
-3.258 1.246 -1.292
-0.180 -2.891 -2.334
-2.046 -3.355 7.277
Tb Pr Eu
1 1 1
Direct
0.327 0.327 0.654
0.675 0.675 0.350
0.998 0.998 0.996
```

For the uncorrected energy, the calculation gives -19.6 eV for the cell shown. Its energy of formation from the pure elements is 39 meV/atom. Its size of the total moment is 7.3 μB/cell.


Entry 8:
Entry from Alexandria: BaInAsBr2 after structural relaxation (PBE).

POSCAR file:
```
BaInAsBr2
1.0
-5.411 2.880 -1.147
-2.633 -3.050 4.760
1.713 4.828 4.041
Br Ba As In
2 1 1 1
Direct
0.500 0.000 0.000
0.000 0.500 0.000
0.000 0.000 0.000
0.000 0.000 0.500
0.500 0.500 0.500
```

For the uncorrected energy, the calculation gives -15.4 eV for the cell shown. The energy relative to the elements, uncorrected is -0.5453 eV/atom. Its size of the total moment is 2.0 μB/cell.